VASP calculation (PBE-GGA) on a geometry-optimized PdPbSO structure.

Cell: 7.1765 7.1765 6.5742 Å, 90.00 90.00 27.33°
Positions (direct):
O (0.5751, 0.5751, 0.4634)
O (0.4249, 0.4249, 0.9634)
Pb (0.4189, 0.4189, 0.3294)
Pb (0.5811, 0.5811, 0.8294)
Pd (0.1749, 0.1749, 0.4957)
Pd (0.8251, 0.8251, 0.9957)
S (0.2224, 0.2224, 0.1042)
S (0.7776, 0.7776, 0.6042)

Output
Energy relative to the lowest polymorph listed for this composition ... 17.8 kJ per mole of atoms
Raw total energy ... -4.9153 eV per atom
Calculated density ... 7.73 g/cm³